Density functional theory data (PBE) for a relaxed ReAgTe2 crystal.

Summary:
Uncorrected energy: -19.075 eV for the cell shown
Total moment: 0.00 Bohr magnetons per cell
Raw formation energy: 0.627 eV per atom
ρ: 9.65 Mg/m³
V: 95 Å³/cell

CIF file:
```
data_ReAgTe2
_chemical_formula_sum 'Re1 Ag1 Te2'
_cell_length_a 2.951
_cell_length_b 3.482
_cell_length_c 9.199
_cell_angle_alpha 90.00
_cell_angle_beta 90.85
_cell_angle_gamma 90.00
_space_group_name_H-M_alt 'P 1 2/m 1'
_space_group_IT_number 10
loop_
_space_group_symop_operation_xyz
'x,y,z'
'-x,-y,-z'
'-x,y,-z'
'x,-y,z'
loop_
_atom_site_label
_atom_site_fract_x
_atom_site_fract_y
_atom_site_fract_z
Re1 0.000 0.000 0.000
Ag1 0.000 0.000 0.500
Te1 0.012 0.500 0.226
```